[1]
CaAgF5 | PBE | relaxed

The structure in POSCAR format:
```
CaAgF5
1.0
5.7429 0.0000 0.0000
-1.9177 5.4911 0.0000
-0.8841 -3.1987 7.4164
Ca Ag F
2 2 10
Direct
0.0403 0.2852 0.2458
0.9597 0.7148 0.7542
0.5000 0.0000 0.5000
0.5000 0.5000 0.0000
0.1855 0.7183 0.5241
0.1964 0.1433 0.9669
0.2406 0.5953 0.8710
0.2751 0.1275 0.3837
0.3894 0.6301 0.2368
0.6106 0.3699 0.7632
0.7249 0.8725 0.6163
0.7594 0.4047 0.1290
0.8036 0.8567 0.0331
0.8145 0.2817 0.4759
```

Values from the calculation:
* calculated total energy: -0.31277 Ry/atom
* crystal system: triclinic
* V: 16.71 A^3/atom
* D(E_F): 4.26 states/eV per cell
* formation energy without anion corrections: -2225 meV per atom
* size of the total moment: 2.00 Bohr magnetons per cell

---

[2]
ScCoB2 | PBE | relaxed

The structure in POSCAR format:
```
ScCoB2
1.0
5.5346 0.0000 0.0000
0.0000 5.0676 0.0000
0.0000 0.0000 5.7998
Sc Co B
4 4 8
Direct
0.0048 0.2500 0.1621
0.4952 0.7500 0.6621
0.5048 0.2500 0.3379
0.9952 0.7500 0.8379
0.1811 0.2500 0.6729
0.3189 0.7500 0.1729
0.6811 0.2500 0.8271
0.8189 0.7500 0.3271
0.1373 0.5832 0.4610
0.1373 0.9168 0.4610
0.3627 0.0832 0.9610
0.3627 0.4168 0.9610
0.6373 0.5832 0.0390
0.6373 0.9168 0.0390
0.8627 0.0832 0.5390
0.8627 0.4168 0.5390
```

Values from the calculation:
* calculated total energy: -0.54262 Ry/atom
* crystal system: orthorhombic
* V: 10.17 A^3/atom
* ΔE_f: -0.6846 eV per atom
* D(E_F): 5.26 states/eV per cell
* size of the total moment: 0.00 Bohr magnetons per cell

---

[3]
NdSm8Ga6 | PBE | relaxed

The structure in POSCAR format:
```
NdSm8Ga6
1.0
4.4133 2.5480 6.2617
-4.4133 2.5480 6.2617
0.0000 -5.0961 6.2617
Nd Sm Ga
1 8 6
Direct
0.0000 0.0000 0.0000
0.1130 0.4463 0.7796
0.2204 0.8870 0.5537
0.3332 0.3332 0.3332
0.4463 0.7796 0.1130
0.5537 0.2204 0.8870
0.6668 0.6668 0.6668
0.7796 0.1130 0.4463
0.8870 0.5537 0.2204
0.0570 0.7215 0.3924
0.2785 0.6076 0.9430
0.3924 0.0570 0.7215
0.6076 0.9430 0.2785
0.7215 0.3924 0.0570
0.9430 0.2785 0.6076
```

Values from the calculation:
* calculated total energy: -0.32348 Ry/atom
* crystal system: trigonal
* V: 28.17 A^3/atom
* ΔE_f: -0.3556 eV per atom
* D(E_F): 19.18 states/eV per cell
* size of the total moment: 0.00 Bohr magnetons per cell

---

[4]
Ce2AsP | PBE | relaxed

The structure in POSCAR format:
```
Ce2AsP
1.0
4.0891 0.0000 0.0000
-2.0445 3.5412 0.0000
0.0000 0.0000 21.5557
Ce As P
6 3 3
Direct
0.0000 0.0000 0.0000
0.0000 0.0000 0.1671
0.3333 0.6667 0.6667
0.3333 0.6667 0.8338
0.6667 0.3333 0.3333
0.6667 0.3333 0.5005
0.0000 0.0000 0.5820
0.3333 0.6667 0.2486
0.6667 0.3333 0.9153
0.0000 0.0000 0.7522
0.3333 0.6667 0.4188
0.6667 0.3333 0.0855
```

Values from the calculation:
* calculated total energy: -0.49640 Ry/atom
* crystal system: trigonal
* V: 26.01 A^3/atom
* ΔE_f: -1.2721 eV per atom
* D(E_F): 29.68 states/eV per cell
* size of the total moment: 5.34 Bohr magnetons per cell

---

[5]
Nd6Ag5Ru | PBE | relaxed

The structure in POSCAR format:
```
Nd6Ag5Ru
1.0
5.2477 0.0000 0.0000
0.0000 7.4559 0.0000
-2.6087 0.0000 7.8650
Nd Ag Ru
6 5 1
Direct
0.0000 0.2331 0.0000
0.0000 0.7669 0.0000
0.3445 0.2417 0.6861
0.3445 0.7583 0.6861
0.6555 0.2417 0.3139
0.6555 0.7583 0.3139
0.1657 0.5000 0.3353
0.1759 0.0000 0.3556
0.5000 0.5000 0.0000
0.8241 0.0000 0.6444
0.8343 0.5000 0.6647
0.5000 0.0000 0.0000
```

Values from the calculation:
* calculated total energy: -0.33784 Ry/atom
* crystal system: monoclinic
* V: 25.64 A^3/atom
* ΔE_f: -0.2516 eV per atom
* D(E_F): 10.70 states/eV per cell
* size of the total moment: 0.00 Bohr magnetons per cell

---

[6]
MgC3Cl | PBE | relaxed

The structure in POSCAR format:
```
MgC3Cl
1.0
4.2747 0.0000 0.0000
0.0000 4.2747 0.0000
0.0000 0.0000 4.2747
Mg C Cl
1 3 1
Direct
0.0000 0.0000 0.0000
0.0000 0.0000 0.5000
0.0000 0.5000 0.0000
0.5000 0.0000 0.0000
0.5000 0.5000 0.5000
```

Values from the calculation:
* calculated total energy: -0.21919 Ry/atom
* crystal system: cubic
* V: 15.62 A^3/atom
* D(E_F): 3.70 states/eV per cell
* formation energy without anion corrections: 3240 meV per atom
* size of the total moment: 0.00 Bohr magnetons per cell

---

[7]
Tm3Al3Os2 | PBE | relaxed

The structure in POSCAR format:
```
Tm3Al3Os2
1.0
7.5695 0.0000 0.0000
0.0000 15.2745 0.0000
0.0000 0.0000 5.6816
Tm Al Os
12 12 8
Direct
0.0354 0.1086 0.1029
0.0354 0.3914 0.1029
0.1716 0.2500 0.6354
0.3284 0.7500 0.1354
0.4646 0.6086 0.6029
0.4646 0.8914 0.6029
0.5354 0.1086 0.3971
0.5354 0.3914 0.3971
0.6716 0.2500 0.8646
0.8284 0.7500 0.3646
0.9646 0.6086 0.8971
0.9646 0.8914 0.8971
0.1635 0.0337 0.5945
0.1635 0.4663 0.5945
0.1712 0.7500 0.6218
0.3288 0.2500 0.1218
0.3365 0.5337 0.0945
0.3365 0.9663 0.0945
0.6635 0.0337 0.9055
0.6635 0.4663 0.9055
0.6712 0.7500 0.8782
0.8288 0.2500 0.3782
0.8365 0.5337 0.4055
0.8365 0.9663 0.4055
0.1321 0.6090 0.3736
0.1321 0.8910 0.3736
0.3679 0.1090 0.8736
0.3679 0.3910 0.8736
0.6321 0.6090 0.1264
0.6321 0.8910 0.1264
0.8679 0.1090 0.6264
0.8679 0.3910 0.6264
```

Values from the calculation:
* calculated total energy: -0.46793 Ry/atom
* crystal system: orthorhombic
* V: 20.53 A^3/atom
* ΔE_f: -0.4789 eV per atom
* D(E_F): 21.78 states/eV per cell
* size of the total moment: 0.00 Bohr magnetons per cell

---

[8]
FeSi2Os | PBE | relaxed

The structure in POSCAR format:
```
FeSi2Os
1.0
5.9255 0.0000 0.0000
0.0000 5.9255 0.0000
0.0000 0.0000 5.9255
Fe Si Os
4 8 4
Direct
0.0000 0.0000 0.0000
0.0000 0.5000 0.5000
0.5000 0.0000 0.5000
0.5000 0.5000 0.0000
0.0000 0.0000 0.5000
0.0000 0.5000 0.0000
0.2500 0.2500 0.2500
0.2500 0.7500 0.7500
0.5000 0.0000 0.0000
0.5000 0.5000 0.5000
0.7500 0.2500 0.7500
0.7500 0.7500 0.2500
0.2500 0.2500 0.7500
0.2500 0.7500 0.2500
0.7500 0.2500 0.2500
0.7500 0.7500 0.7500
```

Values from the calculation:
* calculated total energy: -0.54308 Ry/atom
* crystal system: cubic
* V: 13.00 A^3/atom
* D(E_F): 11.24 states/eV per cell
* formation energy without anion corrections: 246 meV per atom
* size of the total moment: 7.42 Bohr magnetons per cell

---

[9]
TiTlHPd2 | PBE | relaxed

The structure in POSCAR format:
```
TiTlHPd2
1.0
4.1124 0.0000 0.0000
0.0000 4.1124 0.0000
0.0000 0.0000 4.2649
Ti Tl H Pd
1 1 1 2
Direct
0.0000 0.0000 0.0000
0.5000 0.5000 0.0000
0.0000 0.0000 0.5000
0.0000 0.5000 0.5000
0.5000 0.0000 0.5000
```

Values from the calculation:
* calculated total energy: -0.36491 Ry/atom
* crystal system: tetragonal
* V: 14.43 A^3/atom
* D(E_F): 4.60 states/eV per cell
* size of the total moment: 1.30 Bohr magnetons per cell

---

[10]
ReRuRh2 | PBE | relaxed

The structure in POSCAR format:
```
ReRuRh2
1.0
2.7002 0.0000 0.0000
0.0000 3.9111 0.0000
0.0000 0.0000 5.3947
Re Ru Rh
1 1 2
Direct
0.0000 0.0000 0.0000
0.0000 0.0000 0.5000
0.5000 0.5000 0.2502
0.5000 0.5000 0.7498
```

Values from the calculation:
* calculated total energy: -0.67053 Ry/atom
* crystal system: orthorhombic
* V: 14.24 A^3/atom
* ΔE_f: -0.0163 eV per atom
* D(E_F): 3.27 states/eV per cell
* size of the total moment: 0.00 Bohr magnetons per cell

---

[11]
KCrOs | PBE | relaxed

The structure in POSCAR format:
```
KCrOs
1.0
2.7064 0.0000 0.0000
0.0000 5.6597 0.0000
0.0000 0.0000 8.3209
K Cr Os
2 2 2
Direct
0.0000 0.0000 0.0000
0.5000 0.5000 0.5000
0.0000 0.0000 0.3706
0.5000 0.5000 0.8706
0.0000 0.0000 0.6332
0.5000 0.5000 0.1332
```

Values from the calculation:
* calculated total energy: -0.42784 Ry/atom
* crystal system: orthorhombic
* V: 21.24 A^3/atom
* ΔE_f: 1.4958 eV per atom
* D(E_F): 6.24 states/eV per cell
* size of the total moment: 4.49 Bohr magnetons per cell

---

[12]
Pu2ZnRu4 | PBE | relaxed

The structure in POSCAR format:
```
Pu2ZnRu4
1.0
5.5485 0.0000 0.0000
2.7684 4.9119 0.0000
2.7739 -1.1921 8.8808
Pu Zn Ru
4 2 8
Direct
0.1614 0.1798 0.4973
0.3384 0.3202 0.0027
0.6616 0.6798 0.9973
0.8386 0.8202 0.5027
0.0000 0.0000 0.0000
0.5000 0.5000 0.5000
0.0071 0.7498 0.7500
0.0066 0.7512 0.2334
0.4915 0.7487 0.2666
0.4943 0.7503 0.7500
0.5057 0.2497 0.2500
0.5085 0.2513 0.7334
0.9934 0.2488 0.7666
0.9929 0.2502 0.2500
```

Values from the calculation:
* calculated total energy: -0.70982 Ry/atom
* crystal system: triclinic
* V: 17.29 A^3/atom
* ΔE_f: -0.0803 eV per atom
* D(E_F): 20.99 states/eV per cell
* size of the total moment: 15.33 Bohr magnetons per cell